<1>
A relaxed structure of SiSb2PdI. Source: Alexandria via LeMat-Bulk, functional GGA-PBE.

The structure in POSCAR format:
```
SiSb2PdI
1.0
5.203 0.000 0.000
0.000 5.203 0.000
0.000 0.000 5.489
Si Sb Pd I
1 2 1 1
direct
0.000 0.000 0.000
0.000 0.500 0.500
0.500 0.000 0.500
0.500 0.500 0.500
0.500 0.500 0.000
```

Values from the calculation:
Density of states at the Fermi level in states/eV per cell: 6.81
M_tot in μB per formula unit: 0.00

<2>
A relaxed structure of SiSb2PdI. Source: Alexandria via LeMat-Bulk, functional GGA-PBE.

The structure in POSCAR format:
```
SiSb2PdI
1.0
5.212 0.000 0.000
0.000 5.212 0.000
0.000 0.000 5.338
Si Sb Pd I
1 2 1 1
direct
0.000 0.000 0.000
0.000 0.500 0.000
0.500 0.000 0.000
0.500 0.500 0.500
0.000 0.000 0.500
```

Values from the calculation:
Density of states at the Fermi level in states/eV per cell: 3.14
M_tot in μB per formula unit: 0.00

Stability summary - winner: <1>; margin: 0.101 eV/atom.

<1>
A relaxed structure of SrSb2PdI. Source: Alexandria via LeMat-Bulk, functional GGA-PBE.

The structure in POSCAR format:
```
SrSb2PdI
1.0
5.252 0.000 0.000
0.000 5.252 0.000
0.000 0.000 5.832
Sr Sb Pd I
1 2 1 1
direct
0.000 0.000 0.000
0.000 0.500 0.500
0.500 0.000 0.500
0.500 0.500 0.500
0.500 0.500 0.000
```

Values from the calculation:
Density of states at the Fermi level in states/eV per cell: 6.82
M_tot in μB per formula unit: 0.00

<2>
A relaxed structure of SrSb2PdI. Source: Alexandria via LeMat-Bulk, functional GGA-PBE.

The structure in POSCAR format:
```
SrSb2PdI
1.0
6.159 0.000 0.000
0.000 6.159 0.000
0.000 0.000 6.085
Sr Sb Pd I
1 2 1 1
direct
0.000 0.000 0.000
0.000 0.500 0.000
0.500 0.000 0.000
0.500 0.500 0.500
0.000 0.000 0.500
```

Values from the calculation:
Density of states at the Fermi level in states/eV per cell: 7.06
M_tot in μB per formula unit: 0.00

Stability summary - winner: <1>; margin: 1.098 eV/atom.